VASP calculation (PBE with a Hubbard U) on a relaxed structure of U3Tl2CoO12.

Output
Calculated total energy = -8.004 eV per atom

Cell: 7.3707 7.3707 7.3707 Å, 64.56 64.56 64.56°
Positions (direct):
O1 0.2889 0.9456 0.9456
O2 0.9515 0.3269 0.3269
O3 0.3269 0.3269 0.9515
O4 0.0544 0.0544 0.7111
O5 0.0485 0.6731 0.6731
O6 0.6731 0.6731 0.0485
O7 0.7111 0.0544 0.0544
O8 0.9456 0.2889 0.9456
O9 0.3269 0.9515 0.3269
O10 0.0544 0.7111 0.0544
O11 0.9456 0.9456 0.2889
O12 0.6731 0.0485 0.6731
Tl1 0.6455 0.6455 0.6455
Tl2 0.3545 0.3545 0.3545
Co1 0.0000 0.0000 0.0000
U1 0.0000 0.0000 0.5000
U2 0.0000 0.5000 0.0000
U3 0.5000 0.0000 0.0000